Below is an optimized crystal structure of CrCd2, with properties calculated at the GGA-PBE level.

Unit cell a=8.2296 b=8.2296 c=3.0967 alpha=90.00 beta=90.00 gamma=120.00
Last column: nearest neighbours and their distance in Å.
Sites, in units of the cell vectors:
Cr 0.0000 0.0000 0.5000  9 Cd 2.91-3.03, 2 Cr 3.10
Cr 0.3333 0.6667 0.0000  9 Cd 2.89-3.04, 2 Cr 3.10
Cr 0.6667 0.3333 0.0000  9 Cd 2.89-3.04, 2 Cr 3.10
Cd 0.0000 0.2994 0.0000  4 Cr 2.89-2.91, 8 Cd 3.10-3.19
Cd 0.0000 0.6322 0.5000  5 Cr 3.03-3.04, 8 Cd 3.10-3.19
Cd 0.2994 0.0000 0.0000  4 Cr 2.89-2.91, 8 Cd 3.10-3.19
Cd 0.7006 0.7006 0.0000  4 Cr 2.89-2.91, 8 Cd 3.10-3.19
Cd 0.6322 0.0000 0.5000  5 Cr 3.03-3.04, 8 Cd 3.10-3.19
Cd 0.3678 0.3678 0.5000  5 Cr 3.03-3.04, 8 Cd 3.10-3.19

Results
ΔH_f (0 K), meV/atom: 382
SG: P-62m (189)
Total magnetization, Bohr magnetons per cell: 12.46
D(E_F), states/eV/f.u.: 1.2
E_tot, eV per atom: -3.44

Below is an optimized crystal structure of Cr5Cd, with properties calculated at the GGA-PBE level.

Unit cell a=4.8043 b=4.8043 c=4.8043 alpha=60.00 beta=60.00 gamma=60.00
Last column: nearest neighbours and their distance in Å.
Sites, in units of the cell vectors:
Cr 0.8770 0.3743 0.3743  6 Cr 2.39-2.42
Cr 0.7500 0.7500 0.7500  12 Cr 2.82, 4 Cd 2.94
Cr 0.3743 0.8770 0.3743  6 Cr 2.39-2.42
Cr 0.3743 0.3743 0.3743  6 Cr 2.39-2.42
Cr 0.3743 0.3743 0.8770  6 Cr 2.39-2.42
Cd 0.0000 0.0000 0.0000  16 Cr 2.82-2.94

Results
ΔH_f (0 K), meV/atom: 362
SG: F-43m (216)
Total magnetization, Bohr magnetons per cell: 0.00
D(E_F), states/eV/f.u.: 2.1
Energy relative to the lowest polymorph listed for this composition, meV per atom: 4.5
E_tot, eV per atom: -7.81

Below is an optimized crystal structure of CrCd2, with properties calculated at the GGA-PBE level.

Unit cell a=4.8408 b=4.8408 c=5.8618 alpha=90.00 beta=90.00 gamma=120.00
Last column: nearest neighbours and their distance in Å.
Sites, in units of the cell vectors:
Cr 0.3333 0.6667 0.7500  5 Cd 2.79-2.93
Cr 0.6667 0.3333 0.2500  5 Cd 2.79-2.93
Cd 0.0000 0.0000 0.0000  8 Cd 2.93-3.16, 6 Cr 3.16
Cd 0.0000 0.0000 0.5000  8 Cd 2.93-3.16, 6 Cr 3.16
Cd 0.3333 0.6667 0.2500  5 Cr 2.79-2.93
Cd 0.6667 0.3333 0.7500  5 Cr 2.79-2.93

Results
ΔH_f (0 K), meV/atom: 365
SG: P6_3/mmc (194)
Total magnetization, Bohr magnetons per cell: 7.98
D(E_F), states/eV/f.u.: 1.9
E_tot, eV per atom: -3.45

Below is an optimized crystal structure of CrCd2, with properties calculated at the GGA-PBE level.

Unit cell a=5.6345 b=5.6345 c=5.6345 alpha=60.00 beta=60.00 gamma=60.00
Last column: nearest neighbours and their distance in Å.
Sites, in units of the cell vectors:
Cr 0.7500 0.7500 0.7500  12 Cd 3.30, 4 Cr 3.45
Cr 0.5000 0.5000 0.5000  12 Cd 3.30, 4 Cr 3.45
Cd 0.1250 0.6250 0.1250  6 Cd 2.82
Cd 0.1250 0.1250 0.6250  6 Cd 2.82
Cd 0.6250 0.1250 0.1250  6 Cd 2.82
Cd 0.1250 0.1250 0.1250  6 Cd 2.82

Results
ΔH_f (0 K), meV/atom: 511
SG: Fd-3m (227)
Total magnetization, Bohr magnetons per cell: 8.45
D(E_F), states/eV/f.u.: 1.2
E_tot, eV per atom: -3.31